A plane-wave DFT calculation with PBE was carried out for a relaxed structure of LiMgIn2.

Geometry as extended XYZ:
```
4
Lattice="-0.5591 -3.1991 -0.2834 2.7865 -0.3402 -1.6574 4.0199 -1.3254 7.0305" Properties=species:S:1:pos:R:3 pbc="T T T"
Li 1.3933 -0.1701 -0.8287
Mg 3.4032 -0.8328 2.6865
In 0.6654 -1.9111 1.5109
In 2.7954 -2.6134 5.2362
```

Output
**Space-group type**: No. 123
**Calculated formation energy**: -0.19 eV per atom
**ρ**: 5.0 Mg/m³


A plane-wave DFT calculation with PBE was carried out for a relaxed structure of Li4Mg2In.

Geometry as extended XYZ:
```
14
Lattice="-1.6741 -4.5152 -3.3645 0.8349 -2.5189 5.2410 -8.7924 1.6319 2.1850" Properties=species:S:1:pos:R:3 pbc="T T T"
Li -0.6687 -5.6051 1.4954
Li -0.1705 -1.4289 0.3811
Li -4.5667 -0.6129 1.4738
Li -5.0650 -4.7892 2.5877
Li -3.0351 -1.8497 -1.1360
Li -1.7807 -0.8514 3.1668
Li -7.4315 -1.0337 -0.0435
Li -6.1767 -0.0355 4.2592
Mg 0.1039 -3.1004 2.7338
Mg -0.9432 -3.9337 -0.8573
Mg -4.2923 -2.2847 3.8264
Mg -5.3393 -3.1175 0.2351
In -2.6177 -3.1091 1.4845
In -7.0139 -2.2931 2.5770
```

Output
**Relative energy among the computed polymorphs**: 78 meV per atom
**Space-group type**: No. 65
**Calculated formation energy**: -0.07 eV per atom
**ρ**: 2.0 Mg/m³


The calculation returns the following DFT total energy values, one per record and in order: -2.44, -2.01 eV/atom.